PBE Na2HfBi, optimized geometry; density = 6.42 g/cm³; electronic total energy = -0.142 hartree per atom; formation enthalpy at 0 K = 0.244 eV per atom
1.0
-2.1347 2.1347 12.2961
2.1347 -2.1347 12.2961
2.1347 2.1347 -12.2961
Na Hf Bi
4 2 2
direct
0.1255 0.6250 0.0005
0.3750 0.3755 0.5005
0.6245 0.1250 0.9995
0.8750 0.8745 0.4995
0.0000 0.0000 0.0000
0.7500 0.2500 0.5000
0.2500 0.7500 0.5000
0.5000 0.5000 0.0000